No. 1
# Ho5GaSb3

An optimized crystal structure of Ho5GaSb3 (PBE, OQMD).

E_tot = -186.63 eV/cell
M_tot = 0.07 μB per cell
Symmetry = Pnma (62)

a = 7.988 Å, b = 15.177 Å, c = 8.013 Å
α = 90.00°, β = 90.00°, γ = 90.00°
Atoms (fractional coordinates):
Sb 0.094 0.250 0.623
Sb 0.761 0.955 0.024
Sb 0.594 0.250 0.877
Sb 0.406 0.750 0.123
Ho 0.105 0.879 0.152
Ho 0.895 0.379 0.848
Ho 0.395 0.121 0.652
Ho 0.605 0.879 0.348
Ho 0.058 0.387 0.320
Ho 0.058 0.113 0.320
Ho 0.558 0.387 0.180
Ho 0.895 0.121 0.848
Sb 0.761 0.545 0.024
Sb 0.239 0.455 0.976
Ga 0.867 0.250 0.145
Sb 0.739 0.455 0.524
Ho 0.224 0.250 0.009
Ho 0.558 0.113 0.180
Ho 0.776 0.750 0.991
Ho 0.105 0.621 0.152
Ho 0.276 0.750 0.509
Ho 0.395 0.379 0.652
Ga 0.133 0.750 0.855
Sb 0.239 0.045 0.976
Sb 0.261 0.545 0.476
Ho 0.442 0.887 0.820
Ho 0.942 0.887 0.680
Sb 0.739 0.045 0.524
Sb 0.906 0.750 0.377
Sb 0.261 0.955 0.476
Ho 0.605 0.621 0.348
Ho 0.724 0.250 0.491
Ho 0.942 0.613 0.680
Ho 0.442 0.613 0.820
Ga 0.367 0.250 0.355
Ga 0.633 0.750 0.645



No. 2
# NaPrCdS3

An optimized crystal structure of NaPrCdS3 (PBE, OQMD).

M_tot = 0.01 μB per cell
ΔE to the lowest computed polymorph = 0.055 eV per atom
Symmetry = C2/m (12)

a = 8.906 Å, b = 8.906 Å, c = 8.668 Å
α = 105.67°, β = 105.67°, γ = 26.62°
Atoms (fractional coordinates):
Pr 0.823 0.823 0.387
Pr 0.177 0.177 0.613
Cd 0.509 0.509 0.718
S 0.331 0.331 0.173
S 0.660 0.660 0.369
S 0.669 0.669 0.827
S 0.000 0.000 0.500
Na 0.874 0.874 0.932
Cd 0.491 0.491 0.282
S 0.500 0.500 0.000
Na 0.126 0.126 0.068
S 0.340 0.340 0.631



No. 3
# LuFeTcGe

An optimized crystal structure of LuFeTcGe (PBE, OQMD).

M_tot = 3.94 μB per cell
ΔE to the lowest computed polymorph = 0.170 eV per atom
Symmetry = F-43m (216)

a = 4.551 Å, b = 4.551 Å, c = 4.551 Å
α = 60.00°, β = 60.00°, γ = 60.00°
Atoms (fractional coordinates):
Tc 0.500 0.500 0.500
Lu 0.250 0.250 0.250
Fe 0.750 0.750 0.750
Ge 0.000 0.000 0.000



No. 4
# Fe2GePb

An optimized crystal structure of Fe2GePb (PBE, OQMD).

E_tot = -93.80 eV/cell
M_tot = 17.36 μB per cell
Symmetry = Pm-3m (221)

a = 6.462 Å, b = 6.462 Å, c = 6.462 Å
α = 90.00°, β = 90.00°, γ = 90.00°
Atoms (fractional coordinates):
Fe 0.292 0.708 0.708
Ge 0.500 0.500 0.500
Pb 0.000 0.000 0.500
Fe 0.708 0.292 0.708
Fe 0.708 0.708 0.708
Ge 0.000 0.500 0.500
Pb 0.500 0.000 0.000
Fe 0.292 0.708 0.292
Ge 0.500 0.500 0.000
Fe 0.708 0.292 0.292
Pb 0.000 0.500 0.000
Ge 0.500 0.000 0.500
Fe 0.292 0.292 0.708
Fe 0.292 0.292 0.292
Pb 0.000 0.000 0.000
Fe 0.708 0.708 0.292



No. 5
# Y2HoAl7Ag2

An optimized crystal structure of Y2HoAl7Ag2 (PBE, OQMD).

E_tot = -54.85 eV/cell
M_tot = 0.00 μB per cell
Symmetry = R-3m (166)

a = 9.341 Å, b = 9.341 Å, c = 9.341 Å
α = 34.51°, β = 34.51°, γ = 34.51°
Atoms (fractional coordinates):
Al 0.413 0.924 0.413
Ag 0.336 0.336 0.336
Al 0.924 0.413 0.413
Al 0.076 0.587 0.587
Al 0.587 0.076 0.587
Ho 0.000 0.000 0.000
Y 0.142 0.142 0.142
Ag 0.664 0.664 0.664
Y 0.858 0.858 0.858
Al 0.500 0.500 0.500
Al 0.587 0.587 0.076
Al 0.413 0.413 0.924



No. 6
# YErNi4

An optimized crystal structure of YErNi4 (PBE, OQMD).

M_tot = 0.00 μB per cell
ΔE to the lowest computed polymorph = 0.401 eV per atom
Symmetry = P6/mmm (191)

a = 5.373 Å, b = 5.373 Å, c = 7.952 Å
α = 90.00°, β = 90.00°, γ = 120.00°
Atoms (fractional coordinates):
Ni 0.500 0.500 0.230
Ni 0.500 0.000 0.230
Ni 0.500 0.500 0.770
Er 0.667 0.333 0.500
Ni 0.667 0.333 0.000
Ni 0.000 0.500 0.770
Y 0.000 0.000 0.500
Ni 0.333 0.667 0.000
Er 0.333 0.667 0.500
Y 0.000 0.000 0.000
Ni 0.000 0.500 0.230
Ni 0.500 0.000 0.770



No. 7
# NdTmNO

An optimized crystal structure of NdTmNO (PBE, OQMD).

M_tot = 0.01 μB per cell
ΔE to the lowest computed polymorph = 0.353 eV per atom
Symmetry = P4/nmm (129)

a = 4.367 Å, b = 4.367 Å, c = 8.516 Å
α = 90.00°, β = 90.00°, γ = 90.00°
Atoms (fractional coordinates):
Tm 0.250 0.750 0.500
N 0.250 0.250 0.567
N 0.750 0.750 0.433
Nd 0.750 0.750 0.889
Nd 0.250 0.250 0.111
Tm 0.750 0.250 0.500
O 0.750 0.250 0.000
O 0.250 0.750 0.000



No. 8
# Re8W7

An optimized crystal structure of Re8W7 (PBE, OQMD).

M_tot = 0.01 μB per cell
ΔE to the lowest computed polymorph = 0.087 eV per atom
Symmetry = P4_2/mnm (136)

a = 9.639 Å, b = 9.639 Å, c = 5.067 Å
α = 90.00°, β = 90.00°, γ = 90.00°
Atoms (fractional coordinates):
Re 0.466 0.137 0.000
Re 0.185 0.185 0.252
W 0.561 0.764 0.500
W 0.439 0.236 0.500
W 0.102 0.898 0.500
W 0.236 0.439 0.500
Re 0.315 0.685 0.248
Re 0.363 0.966 0.500
W 0.898 0.102 0.500
Re 0.685 0.315 0.752
W 0.939 0.264 0.000
W 0.398 0.398 0.000
Re 0.966 0.363 0.500
W 0.000 0.000 0.000
Re 0.863 0.534 0.000
W 0.764 0.561 0.500
Re 0.534 0.863 0.000
Re 0.685 0.315 0.248
W 0.602 0.602 0.000
W 0.736 0.061 0.000
Re 0.034 0.637 0.500
W 0.061 0.736 0.000
Re 0.637 0.034 0.500
W 0.500 0.500 0.500
Re 0.815 0.815 0.748
W 0.264 0.939 0.000
Re 0.815 0.815 0.252
Re 0.137 0.466 0.000
Re 0.315 0.685 0.752
Re 0.185 0.185 0.748